(1)
# La2ScTc | the Alexandria database | PBE | relaxed
# - ΔH_f (0 K): 0.2438 eV per atom
# - E above lowest polymorph: 213 meV per atom
# - Crystal system: tetragonal
data_La2ScTc
_symmetry_space_group_name_H-M 'I -4 m 2'
_symmetry_Int_Tables_number 119
_symmetry_space_group_name_Hall 'I -4 -2'
_cell_length_a 5.101
_cell_length_b 5.101
_cell_length_c 7.427
_cell_angle_alpha 90.00
_cell_angle_beta 90.00
_cell_angle_gamma 90.00
loop_
_atom_site_label
_atom_site_type_symbol
_atom_site_fract_x
_atom_site_fract_y
_atom_site_fract_z
La1 La 0.000 0.000 0.000
La2 La 0.000 0.500 0.250
Sc1 Sc 0.000 0.500 0.750
Tc1 Tc 0.000 0.000 0.500

=====

(2)
# Ba6Au3N | the Alexandria database | PBE | relaxed
# - Uncorrected energy: -3.5017 eV/atom
# - Crystal system: monoclinic
data_Ba6Au3N
_symmetry_space_group_name_H-M 'P 1 21/c 1'
_symmetry_Int_Tables_number 14
_symmetry_space_group_name_Hall '-P 2ybc'
_cell_length_a 7.762
_cell_length_b 8.542
_cell_length_c 13.713
_cell_angle_alpha 90.00
_cell_angle_beta 123.46
_cell_angle_gamma 90.00
loop_
_atom_site_label
_atom_site_type_symbol
_atom_site_fract_x
_atom_site_fract_y
_atom_site_fract_z
Ba1 Ba 0.099 0.038 0.228
Ba2 Ba 0.223 0.707 0.065
Ba3 Ba 0.356 0.166 0.061
Au1 Au 0.300 0.102 0.754
Au2 Au 0.500 0.000 0.500
N1 N 0.000 0.000 0.000

=====

(3)
# La3TeN | the Alexandria database | PBE | relaxed
# - E above lowest polymorph: 41 meV per atom
# - Crystal system: triclinic
data_La3TeN
_symmetry_space_group_name_H-M 'P -1'
_symmetry_Int_Tables_number 2
_symmetry_space_group_name_Hall '-P 1'
_cell_length_a 4.184
_cell_length_b 8.657
_cell_length_c 9.400
_cell_angle_alpha 105.58
_cell_angle_beta 90.04
_cell_angle_gamma 103.93
loop_
_atom_site_label
_atom_site_type_symbol
_atom_site_fract_x
_atom_site_fract_y
_atom_site_fract_z
La1 La 0.002 0.003 0.194
La2 La 0.155 0.310 0.629
La3 La 0.334 0.668 0.991
Te1 Te 0.353 0.705 0.650
N1 N 0.181 0.362 0.882

=====

(4)
# RbInCSe2 | the Alexandria database | PBE | relaxed
# - Uncorrected energy: -3.3080 eV/atom
# - Crystal system: tetragonal
data_RbInCSe2
_symmetry_space_group_name_H-M 'P 4/m m m'
_symmetry_Int_Tables_number 123
_symmetry_space_group_name_Hall '-P 4 2'
_cell_length_a 5.587
_cell_length_b 5.587
_cell_length_c 4.442
_cell_angle_alpha 90.00
_cell_angle_beta 90.00
_cell_angle_gamma 90.00
loop_
_atom_site_label
_atom_site_type_symbol
_atom_site_fract_x
_atom_site_fract_y
_atom_site_fract_z
Rb1 Rb 0.000 0.000 0.000
In1 In 0.500 0.500 0.500
C1 C 0.500 0.500 0.000
Se1 Se 0.000 0.500 0.500